Record 1
Entry from Alexandria via LeMat-Bulk: a relaxed structure of TiSiSeN2 (PBE).

## Properties
Raw formation energy (eV/f.u.): 2.013
Offset from the most stable computed form (meV/atom): 166
DOS at the Fermi energy (states/eV/cell): 2.75
Space group: P4/mmm (123)
ρ (Mg/m³): 3.78
Total magnetization (μB/f.u.): 0.00

The structure in POSCAR format:
```
TiSiSeN2
1.0
3.8632 0.0000 0.0000
0.0000 3.8632 0.0000
0.0000 0.0000 5.3784
Ti Si Se N
1 1 1 2
Direct
0.0000 0.0000 0.0000
0.5000 0.5000 0.5000
0.0000 0.0000 0.5000
0.0000 0.5000 0.0000
0.5000 0.0000 0.0000
```

***

Record 2
Entry from Alexandria via LeMat-Bulk: a relaxed structure of SrSn3Ir (PBE).

## Properties
Formation energy from the elements (eV per atom): -0.08
DOS at the Fermi energy (states/eV/cell): 3.94
Space group: Pm-3m (221)
ρ (Mg/m³): 7.24
Total magnetization (μB/f.u.): 0.00

The structure in POSCAR format:
```
SrSn3Ir
1.0
5.2632 0.0000 0.0000
0.0000 5.2632 0.0000
0.0000 0.0000 5.2632
Sr Sn Ir
1 3 1
Direct
0.0000 0.0000 0.0000
0.0000 0.5000 0.5000
0.5000 0.0000 0.5000
0.5000 0.5000 0.0000
0.5000 0.5000 0.5000
```

***

Record 3
Entry from Alexandria via LeMat-Bulk: a relaxed structure of Fe2PtSe (PBE).

## Properties
Raw formation energy (eV/f.u.): 0.422
DOS at the Fermi energy (states/eV/cell): 6.73
Space group: Cm (8)
ρ (Mg/m³): 10.73
Total magnetization (μB/f.u.): 5.75

The structure in POSCAR format:
```
Fe2PtSe
1.0
8.4733 0.0000 0.0000
0.0000 2.9152 0.0000
-0.4978 0.0000 4.8315
Fe Pt Se
4 2 2
Direct
0.0000 0.0000 0.0000
0.2215 0.5000 0.2349
0.5000 0.5000 0.0000
0.7215 0.0000 0.2349
0.4649 0.0000 0.4691
0.9649 0.5000 0.4691
0.2625 0.0000 0.8244
0.7625 0.5000 0.8244
```

***

Record 4
Entry from Alexandria via LeMat-Bulk: a relaxed structure of Ni5B2W4 (PBE).

## Properties
Formation energy from the elements (eV per atom): -0.02
DOS at the Fermi energy (states/eV/cell): 7.49
Space group: P2/m (10)
ρ (Mg/m³): 13.18
Total magnetization (μB/f.u.): 0.00

The structure in POSCAR format:
```
Ni5B2W4
1.0
6.0726 0.0000 0.0000
0.0000 3.0426 0.0000
-0.7824 0.0000 7.1653
Ni B W
5 2 4
Direct
0.0000 0.0000 0.0000
0.0333 0.0000 0.3330
0.3483 0.0000 0.8624
0.6517 0.0000 0.1376
0.9667 0.0000 0.6670
0.4406 0.0000 0.3776
0.5594 0.0000 0.6224
0.2774 0.5000 0.5587
0.3103 0.5000 0.1591
0.6897 0.5000 0.8409
0.7226 0.5000 0.4413
```